1.
## TmSbNO (GGA-PBE)

Data for a relaxed structure of TmSbNO.

Geometry as CIF:
```
data_TmSbNO
_chemical_formula_sum 'Tm4 Sb4 N4 O4'
_cell_length_a 5.480
_cell_length_b 8.002
_cell_length_c 5.738
_cell_angle_alpha 90.00
_cell_angle_beta 90.00
_cell_angle_gamma 90.00
_space_group_name_H-M_alt 'P c a 21'
_space_group_IT_number 29
_space_group_name_Hall 'P 2c -2ac'
loop_
_atom_site_label
_atom_site_fract_x
_atom_site_fract_y
_atom_site_fract_z
Tm1 0.013 0.126 0.000
Sb1 0.021 0.368 0.501
N1 0.141 0.608 0.501
O1 0.250 0.982 0.250
```

***

2.
## TmSbNO (GGA-PBE)

Data for a relaxed structure of TmSbNO.

Geometry as CIF:
```
data_TmSbNO
_chemical_formula_sum 'Tm2 Sb2 N2 O2'
_cell_length_a 4.876
_cell_length_b 4.876
_cell_length_c 4.951
_cell_angle_alpha 90.00
_cell_angle_beta 90.00
_cell_angle_gamma 90.00
_space_group_name_H-M_alt 'P 4/n m m'
_space_group_IT_number 129
loop_
_space_group_symop_operation_xyz
'x,y,z'
'-x,-y,-z'
'-y+1/2,x,z'
'y+1/2,-x,-z'
'-x+1/2,-y+1/2,z'
'x+1/2,y+1/2,-z'
'y,-x+1/2,z'
'-y,x+1/2,-z'
'x+1/2,-y,-z'
'-x+1/2,y,z'
'-y,-x,-z'
'y,x,z'
'-x,y+1/2,-z'
'x,-y+1/2,z'
'y+1/2,x+1/2,-z'
'-y+1/2,-x+1/2,z'
loop_
_atom_site_label
_atom_site_fract_x
_atom_site_fract_y
_atom_site_fract_z
Tm1 0.250 0.750 0.000
Sb1 0.250 0.250 0.498
N1 0.250 0.250 0.921
O1 0.250 0.750 0.500
```

***

3.
## TmSbNO (GGA-PBE)

Data for a relaxed structure of TmSbNO.

Geometry as CIF:
```
data_TmSbNO
_chemical_formula_sum 'Tm4 Sb4 N4 O4'
_cell_length_a 6.522
_cell_length_b 7.307
_cell_length_c 5.514
_cell_angle_alpha 90.00
_cell_angle_beta 90.00
_cell_angle_gamma 90.00
_space_group_name_H-M_alt 'P c a 21'
_space_group_IT_number 29
_space_group_name_Hall 'P 2c -2ac'
loop_
_atom_site_label
_atom_site_fract_x
_atom_site_fract_y
_atom_site_fract_z
Tm1 0.087 0.149 0.000
Sb1 0.119 0.679 0.009
N1 0.087 0.107 0.593
O1 0.070 0.403 0.222
```

***

4.
## TmSbNO (GGA-PBE)

Data for a relaxed structure of TmSbNO.

Geometry as CIF:
```
data_TmSbNO
_chemical_formula_sum 'Tm2 Sb2 N2 O2'
_cell_length_a 3.578
_cell_length_b 6.714
_cell_length_c 5.671
_cell_angle_alpha 90.00
_cell_angle_beta 90.00
_cell_angle_gamma 90.00
_space_group_name_H-M_alt 'P m c 21'
_space_group_IT_number 26
_space_group_name_Hall 'P 2c -2'
loop_
_atom_site_label
_atom_site_fract_x
_atom_site_fract_y
_atom_site_fract_z
Tm1 0.000 0.150 0.000
Sb1 0.500 0.354 0.480
N1 0.000 0.173 0.401
O1 0.500 0.184 0.803
```

***

5.
## ZrSbNO (GGA-PBE)

Data for a relaxed structure of ZrSbNO.

Geometry as CIF:
```
data_ZrSbNO
_chemical_formula_sum 'Zr2 Sb2 N2 O2'
_cell_length_a 4.247
_cell_length_b 4.247
_cell_length_c 7.562
_cell_angle_alpha 90.00
_cell_angle_beta 90.00
_cell_angle_gamma 90.00
_space_group_name_H-M_alt 'P 4/n m m'
_space_group_IT_number 129
loop_
_space_group_symop_operation_xyz
'x,y,z'
'-x,-y,-z'
'-y+1/2,x,z'
'y+1/2,-x,-z'
'-x+1/2,-y+1/2,z'
'x+1/2,y+1/2,-z'
'y,-x+1/2,z'
'-y,x+1/2,-z'
'x+1/2,-y,-z'
'-x+1/2,y,z'
'-y,-x,-z'
'y,x,z'
'-x,y+1/2,-z'
'x,-y+1/2,z'
'y+1/2,x+1/2,-z'
'-y+1/2,-x+1/2,z'
loop_
_atom_site_label
_atom_site_fract_x
_atom_site_fract_y
_atom_site_fract_z
Zr1 0.250 0.750 0.000
Sb1 0.250 0.250 0.383
N1 0.250 0.250 0.926
O1 0.250 0.750 0.500
```

***

6.
## ZrSbNO (GGA-PBE)

Data for a relaxed structure of ZrSbNO.

Geometry as CIF:
```
data_ZrSbNO
_chemical_formula_sum 'Zr4 Sb4 N4 O4'
_cell_length_a 6.300
_cell_length_b 9.073
_cell_length_c 5.880
_cell_angle_alpha 90.00
_cell_angle_beta 90.00
_cell_angle_gamma 90.00
_space_group_name_H-M_alt 'P c a 21'
_space_group_IT_number 29
_space_group_name_Hall 'P 2c -2ac'
loop_
_atom_site_label
_atom_site_fract_x
_atom_site_fract_y
_atom_site_fract_z
Zr1 0.086 0.092 0.000
Sb1 0.174 0.515 0.069
N1 0.150 0.023 0.671
O1 0.068 0.305 0.066
```

***

7.
## ZrSbNO (GGA-PBE)

Data for a relaxed structure of ZrSbNO.

Geometry as CIF:
```
data_ZrSbNO
_chemical_formula_sum 'Zr2 Sb2 N2 O2'
_cell_length_a 4.147
_cell_length_b 4.147
_cell_length_c 8.957
_cell_angle_alpha 90.00
_cell_angle_beta 90.00
_cell_angle_gamma 90.00
_space_group_name_H-M_alt 'P 4/n m m'
_space_group_IT_number 129
loop_
_space_group_symop_operation_xyz
'x,y,z'
'-x,-y,-z'
'-y+1/2,x,z'
'y+1/2,-x,-z'
'-x+1/2,-y+1/2,z'
'x+1/2,y+1/2,-z'
'y,-x+1/2,z'
'-y,x+1/2,-z'
'x+1/2,-y,-z'
'-x+1/2,y,z'
'-y,-x,-z'
'y,x,z'
'-x,y+1/2,-z'
'x,-y+1/2,z'
'y+1/2,x+1/2,-z'
'-y+1/2,-x+1/2,z'
loop_
_atom_site_label
_atom_site_fract_x
_atom_site_fract_y
_atom_site_fract_z
Zr1 0.250 0.250 0.086
Sb1 0.250 0.750 0.500
N1 0.250 0.250 0.296
O1 0.250 0.750 0.000
```

***

8.
## ZrSbNO (GGA-PBE)

Data for a relaxed structure of ZrSbNO.

Geometry as CIF:
```
data_ZrSbNO
_chemical_formula_sum 'Zr4 Sb4 N4 O4'
_cell_length_a 5.657
_cell_length_b 7.614
_cell_length_c 5.465
_cell_angle_alpha 90.00
_cell_angle_beta 90.00
_cell_angle_gamma 90.00
_space_group_name_H-M_alt 'P c a 21'
_space_group_IT_number 29
_space_group_name_Hall 'P 2c -2ac'
loop_
_atom_site_label
_atom_site_fract_x
_atom_site_fract_y
_atom_site_fract_z
Zr1 0.016 0.140 0.000
Sb1 0.038 0.351 0.516
N1 0.117 0.609 0.537
O1 0.249 0.978 0.250
```

***

9.
## ZrSbNO (GGA-PBE)

Data for a relaxed structure of ZrSbNO.

Geometry as CIF:
```
data_ZrSbNO
_chemical_formula_sum 'Zr2 Sb2 N2 O2'
_cell_length_a 3.369
_cell_length_b 7.041
_cell_length_c 6.876
_cell_angle_alpha 90.00
_cell_angle_beta 90.00
_cell_angle_gamma 90.00
_space_group_name_H-M_alt 'P m c 21'
_space_group_IT_number 26
_space_group_name_Hall 'P 2c -2'
loop_
_atom_site_label
_atom_site_fract_x
_atom_site_fract_y
_atom_site_fract_z
Zr1 0.000 0.128 0.000
Sb1 0.500 0.250 0.476
N1 0.000 0.120 0.314
O1 0.500 0.271 0.947
```

***

10.
## ZrSbNO (GGA-PBE)

Data for a relaxed structure of ZrSbNO.

Geometry as CIF:
```
data_ZrSbNO
_chemical_formula_sum 'Zr2 Sb2 N2 O2'
_cell_length_a 3.483
_cell_length_b 8.091
_cell_length_c 5.985
_cell_angle_alpha 90.00
_cell_angle_beta 90.00
_cell_angle_gamma 90.00
_space_group_name_H-M_alt 'P m c 21'
_space_group_IT_number 26
_space_group_name_Hall 'P 2c -2'
loop_
_atom_site_label
_atom_site_fract_x
_atom_site_fract_y
_atom_site_fract_z
Zr1 0.000 0.131 0.000
Sb1 0.500 0.492 0.438
N1 0.500 0.253 0.921
O1 0.000 0.077 0.326
```

***

11.
## SmScNO (GGA-PBE)

Data for a relaxed structure of SmScNO.

Geometry as CIF:
```
data_SmScNO
_chemical_formula_sum 'Sm2 Sc2 N2 O2'
_cell_length_a 4.749
_cell_length_b 3.882
_cell_length_c 6.740
_cell_angle_alpha 90.00
_cell_angle_beta 90.00
_cell_angle_gamma 90.00
_space_group_name_H-M_alt 'P m m a'
_space_group_IT_number 51
_space_group_name_Hall '-P 2a 2a'
loop_
_atom_site_label
_atom_site_fract_x
_atom_site_fract_y
_atom_site_fract_z
Sm1 0.250 0.000 0.168
Sc1 0.250 0.500 0.659
N1 0.250 0.500 0.354
O1 0.250 0.000 0.796
```

***

12.
## SmScNO (GGA-PBE)

Data for a relaxed structure of SmScNO.

Geometry as CIF:
```
data_SmScNO
_chemical_formula_sum 'Sm4 Sc4 N4 O4'
_cell_length_a 7.937
_cell_length_b 6.447
_cell_length_c 4.902
_cell_angle_alpha 90.00
_cell_angle_beta 90.00
_cell_angle_gamma 90.00
_space_group_name_H-M_alt 'P b c m'
_space_group_IT_number 57
_space_group_name_Hall '-P 2c 2b'
loop_
_atom_site_label
_atom_site_fract_x
_atom_site_fract_y
_atom_site_fract_z
Sm1 0.134 0.068 0.250
Sc1 0.381 0.581 0.250
N1 0.149 0.063 0.750
O1 0.401 0.597 0.750
```

***

no.,offset from the most stable computed form (meV per atom),E_tot (eV for the cell shown),size of the total moment (μB per cell)
1,0.0,-111.15,0.00
2,420.4,-52.21,0.00
3,285.9,-106.58,0.01
4,229.2,-53.74,0.00
5,601.8,-57.82,0.04
6,33.2,-124.73,0.00
7,432.6,-59.17,0.01
8,263.8,-121.04,0.00
9,181.5,-61.18,0.00
10,0.0,-62.63,0.00
11,0.0,-66.28,0.02
12,63.1,-131.54,0.01